Entry a
First-principles (SCAN) data for a PBEsol-optimized structure of GaBiI3, as listed in Alexandria via LeMat-Bulk.

Geometry as CIF:
```
data_GaBiI3
_space_group_name_H-M_alt 'P m -3 m'
_space_group_IT_number 221
_space_group_name_Hall '-P 4 2 3'
_cell_length_a 6.1324
_cell_length_b 6.1324
_cell_length_c 6.1324
_cell_angle_alpha 90.00
_cell_angle_beta 90.00
_cell_angle_gamma 90.00
loop_
_atom_site_label
_atom_site_fract_x
_atom_site_fract_y
_atom_site_fract_z
_atom_site_occupancy
Ga1 0.0000 0.0000 0.0000 1
Bi1 0.5000 0.5000 0.5000 1
I1 0.0000 0.5000 0.5000 1
```

Calculated values
- total magnetic moment (μB/f.u.) = 0.00

=====

Entry b
First-principles (SCAN) data for a PBEsol-optimized structure of GaBiI3, as listed in Alexandria via LeMat-Bulk.

Geometry as CIF:
```
data_GaBiI3
_space_group_name_H-M_alt 'P m -3 m'
_space_group_IT_number 221
_space_group_name_Hall '-P 4 2 3'
_cell_length_a 5.5033
_cell_length_b 5.5033
_cell_length_c 5.5033
_cell_angle_alpha 90.00
_cell_angle_beta 90.00
_cell_angle_gamma 90.00
loop_
_atom_site_label
_atom_site_fract_x
_atom_site_fract_y
_atom_site_fract_z
_atom_site_occupancy
Ga1 0.0000 0.0000 0.0000 1
Bi1 0.5000 0.5000 0.5000 1
I1 0.0000 0.0000 0.5000 1
```

Calculated values
- total magnetic moment (μB/f.u.) = 0.00

=====

Which of them is most stable, and which least? Most stable: entry a; least stable: entry b.

=====

Entry a
First-principles (SCAN) data for a PBEsol-optimized structure of InGa2Bi2, as listed in Alexandria via LeMat-Bulk.

Geometry as CIF:
```
data_InGa2Bi2
_space_group_name_H-M_alt 'P 4/m b m'
_space_group_IT_number 127
_space_group_name_Hall '-P 4 2ab'
_cell_length_a 8.6838
_cell_length_b 8.6838
_cell_length_c 3.4525
_cell_angle_alpha 90.00
_cell_angle_beta 90.00
_cell_angle_gamma 90.00
loop_
_atom_site_label
_atom_site_fract_x
_atom_site_fract_y
_atom_site_fract_z
_atom_site_occupancy
In1 0.0000 0.0000 0.0000 1
Ga1 0.1408 0.3592 0.5000 1
Bi1 0.1561 0.6561 0.0000 1
```

Calculated values
- total magnetic moment (μB/f.u.) = 0.00

=====

Entry b
First-principles (SCAN) data for a PBEsol-optimized structure of InGa2Bi2, as listed in Alexandria via LeMat-Bulk.

Geometry as CIF:
```
data_InGa2Bi2
_space_group_name_H-M_alt 'I 4/m m m'
_space_group_IT_number 139
_space_group_name_Hall '-I 4 2'
_cell_length_a 4.2029
_cell_length_b 4.2029
_cell_length_c 15.0738
_cell_angle_alpha 90.00
_cell_angle_beta 90.00
_cell_angle_gamma 90.00
loop_
_atom_site_label
_atom_site_fract_x
_atom_site_fract_y
_atom_site_fract_z
_atom_site_occupancy
In1 0.0000 0.0000 0.0000 1
Ga1 0.0000 0.5000 0.2500 1
Bi1 0.0000 0.0000 0.3869 1
```

Calculated values
- total magnetic moment (μB/f.u.) = 0.00

=====

Which of them is most stable, and which least? Most stable: entry b; least stable: entry a.

=====

Entry a
First-principles (SCAN) data for a PBEsol-optimized structure of GaBiPS2, as listed in Alexandria via LeMat-Bulk.

Geometry as CIF:
```
data_GaBiPS2
_space_group_name_H-M_alt 'P 4/m m m'
_space_group_IT_number 123
_space_group_name_Hall '-P 4 2'
_cell_length_a 5.2258
_cell_length_b 5.2258
_cell_length_c 5.2255
_cell_angle_alpha 90.00
_cell_angle_beta 90.00
_cell_angle_gamma 90.00
loop_
_atom_site_label
_atom_site_fract_x
_atom_site_fract_y
_atom_site_fract_z
_atom_site_occupancy
Ga1 0.0000 0.0000 0.0000 1
Bi1 0.5000 0.5000 0.5000 1
P1 0.5000 0.5000 0.0000 1
S1 0.0000 0.5000 0.5000 1
```

Calculated values
- total magnetic moment (μB/f.u.) = 2.24

=====

Entry b
First-principles (SCAN) data for a PBEsol-optimized structure of GaBiPS2, as listed in Alexandria via LeMat-Bulk.

Geometry as CIF:
```
data_GaBiPS2
_space_group_name_H-M_alt 'P 4/m m m'
_space_group_IT_number 123
_space_group_name_Hall '-P 4 2'
_cell_length_a 4.6548
_cell_length_b 4.6548
_cell_length_c 4.6827
_cell_angle_alpha 90.00
_cell_angle_beta 90.00
_cell_angle_gamma 90.00
loop_
_atom_site_label
_atom_site_fract_x
_atom_site_fract_y
_atom_site_fract_z
_atom_site_occupancy
Ga1 0.0000 0.0000 0.0000 1
Bi1 0.5000 0.5000 0.5000 1
P1 0.0000 0.0000 0.5000 1
S1 0.0000 0.5000 0.0000 1
```

Calculated values
- total magnetic moment (μB/f.u.) = 0.00

=====

Which of them is most stable, and which least? Most stable: entry b; least stable: entry a.

=====

Entry a
First-principles (SCAN) data for a PBEsol-optimized structure of GaBi3Pt, as listed in Alexandria via LeMat-Bulk.

Geometry as CIF:
```
data_GaBi3Pt
_space_group_name_H-M_alt 'P m -3 m'
_space_group_IT_number 221
_space_group_name_Hall '-P 4 2 3'
_cell_length_a 5.4084
_cell_length_b 5.4084
_cell_length_c 5.4084
_cell_angle_alpha 90.00
_cell_angle_beta 90.00
_cell_angle_gamma 90.00
loop_
_atom_site_label
_atom_site_fract_x
_atom_site_fract_y
_atom_site_fract_z
_atom_site_occupancy
Ga1 0.0000 0.0000 0.0000 1
Bi1 0.0000 0.5000 0.5000 1
Pt1 0.5000 0.5000 0.5000 1
```

Calculated values
- total magnetic moment (μB/f.u.) = 0.00

=====

Entry b
First-principles (SCAN) data for a PBEsol-optimized structure of GaBi3Pt, as listed in Alexandria via LeMat-Bulk.

Geometry as CIF:
```
data_GaBi3Pt
_space_group_name_H-M_alt 'P m -3 m'
_space_group_IT_number 221
_space_group_name_Hall '-P 4 2 3'
_cell_length_a 5.2307
_cell_length_b 5.2307
_cell_length_c 5.2307
_cell_angle_alpha 90.00
_cell_angle_beta 90.00
_cell_angle_gamma 90.00
loop_
_atom_site_label
_atom_site_fract_x
_atom_site_fract_y
_atom_site_fract_z
_atom_site_occupancy
Ga1 0.0000 0.0000 0.0000 1
Bi1 0.0000 0.0000 0.5000 1
Pt1 0.5000 0.5000 0.5000 1
```

Calculated values
- total magnetic moment (μB/f.u.) = 0.00

=====

Which of them is most stable, and which least? Most stable: entry a; least stable: entry b.